# 1
# CaLaI2, relaxed, DFT GGA-PBE
data_CaLaI2
_chemical_formula_sum 'Ca4 La4 I8'
_space_group_name_H-M_alt 'I -4 2 d'
_space_group_IT_number 122
_space_group_name_Hall 'I -4 2bw'
_cell_length_a 7.300
_cell_length_b 7.300
_cell_length_c 14.078
_cell_angle_alpha 90.00
_cell_angle_beta 90.00
_cell_angle_gamma 90.00
loop_
_atom_site_label
_atom_site_type_symbol
_atom_site_fract_x
_atom_site_fract_y
_atom_site_fract_z
Ca1 Ca 0.000 0.000 0.000
La1 La 0.000 0.000 0.500
I1 I 0.232 0.250 0.125
# spin magnetization: 0.028 Bohr magnetons per cell
# ΔE_f (raw): -0.598 eV per atom

=====

# 2
# ScTlZn, relaxed, DFT GGA-PBE
data_ScTlZn
_chemical_formula_sum 'Sc2 Tl2 Zn2'
_space_group_name_H-M_alt 'P 63/m m c'
_space_group_IT_number 194
_space_group_name_Hall '-P 6c 2c'
_cell_length_a 4.4963
_cell_length_b 4.4963
_cell_length_c 11.2874
_cell_angle_alpha 90.00
_cell_angle_beta 90.00
_cell_angle_gamma 120.00
loop_
_atom_site_label
_atom_site_type_symbol
_atom_site_fract_x
_atom_site_fract_y
_atom_site_fract_z
Sc1 Sc 0.0000 0.0000 0.0000
Tl1 Tl 0.0000 0.0000 0.2500
Zn1 Zn 0.3333 0.6667 0.2500
# E_form: 0.75 eV/atom
# spin magnetization: 1.253 Bohr magnetons per cell

=====

# 3
# PuZn2Cu, relaxed, DFT GGA-PBE
data_PuZn2Cu
_chemical_formula_sum 'Pu1 Zn2 Cu1'
_space_group_name_H-M_alt 'P 4/m m m'
_space_group_IT_number 123
_space_group_name_Hall '-P 4 2'
_cell_length_a 2.559
_cell_length_b 2.559
_cell_length_c 8.806
_cell_angle_alpha 90.00
_cell_angle_beta 90.00
_cell_angle_gamma 90.00
loop_
_atom_site_label
_atom_site_type_symbol
_atom_site_fract_x
_atom_site_fract_y
_atom_site_fract_z
Pu1 Pu 0.000 0.000 0.000
Zn1 Zn 0.500 0.500 0.283
Cu1 Cu 0.000 0.000 0.500
# E_form: 0.08 eV/atom
# spin magnetization: 0.000 Bohr magnetons per cell

=====

# 4
# La3ZrTe, relaxed, DFT GGA-PBE
data_La3ZrTe
_chemical_formula_sum 'La3 Zr1 Te1'
_space_group_name_H-M_alt 'P m -3 m'
_space_group_IT_number 221
_space_group_name_Hall '-P 4 2 3'
_cell_length_a 5.936
_cell_length_b 5.936
_cell_length_c 5.936
_cell_angle_alpha 90.00
_cell_angle_beta 90.00
_cell_angle_gamma 90.00
loop_
_atom_site_label
_atom_site_type_symbol
_atom_site_fract_x
_atom_site_fract_y
_atom_site_fract_z
La1 La 0.000 0.000 0.500
Zr1 Zr 0.500 0.500 0.500
Te1 Te 0.000 0.000 0.000
# spin magnetization: 1.978 Bohr magnetons per cell
# ΔE_f (raw): 0.172 eV per atom

=====

# 5
# Ac2Y2Sn3, relaxed, DFT GGA-PBE
data_Ac2Y2Sn3
_chemical_formula_sum 'Ac2 Y2 Sn3'
_space_group_name_H-M_alt 'P -1'
_space_group_IT_number 2
_cell_length_a 5.018
_cell_length_b 6.257
_cell_length_c 9.016
_cell_angle_alpha 97.44
_cell_angle_beta 90.05
_cell_angle_gamma 113.62
loop_
_space_group_symop_operation_xyz
'x,y,z'
'-x,-y,-z'
loop_
_atom_site_label
_atom_site_type_symbol
_atom_site_fract_x
_atom_site_fract_y
_atom_site_fract_z
Ac1 Ac 0.129 0.257 0.350
Y1 Y 0.355 0.709 0.057
Sn1 Sn 0.000 0.000 0.000
Sn2 Sn 0.189 0.379 0.735
# E_form: -0.56 eV/atom
# spin magnetization: 0.000 Bohr magnetons per cell

=====

# 6
# FeCuTeAsOs, relaxed, DFT GGA-PBE
data_FeCuTeAsOs
_chemical_formula_sum 'Fe2 Cu2 Te2 As2 Os2'
_space_group_name_H-M_alt 'C 1 m 1'
_space_group_IT_number 8
_cell_length_a 7.942
_cell_length_b 3.110
_cell_length_c 7.463
_cell_angle_alpha 90.00
_cell_angle_beta 99.34
_cell_angle_gamma 90.00
loop_
_space_group_symop_operation_xyz
'x,y,z'
'x,-y,z'
'x+1/2,y+1/2,z'
'x+1/2,-y+1/2,z'
loop_
_atom_site_label
_atom_site_type_symbol
_atom_site_fract_x
_atom_site_fract_y
_atom_site_fract_z
Fe1 Fe 0.000 0.000 0.000
Cu1 Cu 0.016 0.500 0.724
Te1 Te 0.484 0.000 0.379
As1 As 0.269 0.000 0.904
Os1 Os 0.242 0.500 0.180
# spin magnetization: 4.605 Bohr magnetons per cell
# ΔE_f (raw): 0.288 eV per atom